A plane-wave DFT calculation with PBE+U was carried out for a geometry-optimized Rb3MoAs2O8 structure.

a b c (Å): 5.8492 5.8492 8.2605
angles (deg): 90.00 90.00 120.00
Space group P-3m1 (No. 164)
Inequivalent atoms, fractional coordinates:
Rb  0.0000  0.0000  0.0000 (multiplicity 1)
Rb  0.3333  0.6667  0.7437 (multiplicity 2)
Mo  0.0000  0.0000  0.5000 (multiplicity 1)
As  0.3333  0.6667  0.2776 (multiplicity 2)
O  0.1706  0.3411  0.3414 (multiplicity 6)
O  0.3333  0.6667  0.0734 (multiplicity 2)

Properties
raw total energy	-5.7961	eV/atom